Entry 1:
Compound: NaCaGaHg2
Source: Alexandria via LeMat-Bulk
Functional: PBE
Structure: relaxed

POSCAR file:
```
NaCaGaHg2
1.0
5.864 0.000 0.000
0.000 5.864 0.000
0.000 0.000 5.764
Na Ca Ga Hg
1 1 1 2
direct
0.000 0.000 0.000 Na
0.500 0.500 0.500 Ca
0.500 0.500 0.000 Ga
0.000 0.500 0.500 Hg
0.500 0.000 0.500 Hg
```

## Properties
The space group is No. 123. The magnetization is 0.000 μB per atom. The value obtained for the formation energy is 0.211 eV/atom.



Entry 2:
Compound: Cu2SbW
Source: Alexandria via LeMat-Bulk
Functional: PBE
Structure: relaxed

POSCAR file:
```
Cu2SbW
1.0
0.000 3.167 3.167
3.167 0.000 3.167
3.167 3.167 0.000
Cu Sb W
2 1 1
direct
0.000 0.000 0.000 Cu
0.250 0.250 0.250 Cu
0.500 0.500 0.500 Sb
0.750 0.750 0.750 W
```

## Properties
The formation energy without anion corrections is 0.5881 eV/atom. The space group is No. 216. The magnetization is 0.000 μB per atom.



Entry 3:
Compound: TcGeBr2
Source: Alexandria via LeMat-Bulk
Functional: PBE
Structure: relaxed

POSCAR file:
```
TcGeBr2
1.0
0.000 3.482 3.482
3.482 0.000 3.482
3.482 3.482 0.000
Tc Ge Br
1 1 2
direct
0.000 0.000 0.000 Tc
0.500 0.500 0.500 Ge
0.250 0.250 0.250 Br
0.750 0.750 0.750 Br
```

## Properties
The formation energy without anion corrections is 0.7248 eV/atom. The space group is No. 225. The magnetization is 0.753 μB per atom. The distance to the lowest polymorph of the same formula is 538 meV/atom.



Entry 4:
Compound: TaTi5Pt8
Source: Alexandria via LeMat-Bulk
Functional: PBE
Structure: relaxed

POSCAR file:
```
TaTi5Pt8
1.0
-3.883 3.883 3.868
3.883 -3.883 3.868
3.883 3.883 -3.868
Ta Ti Pt
1 5 8
direct
0.000 0.000 0.000 Ta
0.058 0.211 0.586 Ti
0.250 0.750 0.500 Ti
0.529 0.942 0.153 Ti
0.624 0.471 0.414 Ti
0.789 0.376 0.847 Ti
0.091 0.653 0.771 Pt
0.261 0.492 0.101 Pt
0.347 0.118 0.438 Pt
0.392 0.161 0.899 Pt
0.508 0.608 0.769 Pt
0.680 0.909 0.562 Pt
0.839 0.739 0.231 Pt
0.882 0.320 0.229 Pt
```

## Properties
The space group is No. 82. The magnetization is 0.000 μB per atom. The value obtained for the formation energy is -0.707 eV/atom.



Entry 5:
Compound: La2PmTm
Source: Alexandria via LeMat-Bulk
Functional: PBE
Structure: relaxed

POSCAR file:
```
La2PmTm
1.0
1.836 1.060 11.792
-1.836 1.060 11.792
0.000 -2.120 11.792
La Pm Tm
2 1 1
direct
0.248 0.248 0.248 La
0.752 0.752 0.752 La
0.000 0.000 0.000 Pm
0.500 0.500 0.500 Tm
```

## Properties
The space group is No. 166. The magnetization is 0.000 μB per atom. The distance to the lowest polymorph of the same formula is 0 meV/atom. The value obtained for the formation energy is 0.015 eV/atom.



Entry 6:
Compound: BaLi4Zr
Source: Alexandria via LeMat-Bulk
Functional: PBE
Structure: relaxed

POSCAR file:
```
BaLi4Zr
1.0
0.000 4.235 4.235
4.235 0.000 4.235
4.235 4.235 0.000
Ba Li Zr
1 4 1
direct
0.000 0.000 0.000 Ba
0.139 0.620 0.620 Li
0.620 0.139 0.620 Li
0.620 0.620 0.139 Li
0.620 0.620 0.620 Li
0.250 0.250 0.250 Zr
```

## Properties
The space group is No. 216. The magnetization is 0.409 μB per atom. The value obtained for the formation energy is 0.348 eV/atom.